Below is crystalline Al3Co at its relaxed geometry, with properties calculated at the PBE-GGA level.

**Formation enthalpy at 0 K**: -0.159 eV/atom
**N(E_F)**: 1.53 states/eV/f.u.
**Spin magnetization**: 0.000 μB per atom
**Density**: 4.2 Mg/m³

Cell: 5.215 7.490 2.845 Å, 90.00 90.00 90.00°
Space group Cmmm (No. 65)
Asymmetric unit:
Al (0.000, 0.000, 0.000) x2
Al (0.250, 0.250, 0.500) x4
Co (0.000, 0.500, 0.000) x2



Below is crystalline AcTlPb2S4 at its relaxed geometry, with properties calculated at the PBE-GGA level.

**Formation energy from raw total energies**: -0.97 eV per atom
**Spin magnetization**: 0.000 μB per atom
**Density**: 7.1 Mg/m³

Cell: 7.464 4.343 7.471 Å, 90.00 108.77 90.00°
Space group P2/m (No. 10)
Asymmetric unit:
Ac (0.000, 0.000, 0.000) x1
Tl (0.000, 0.500, 0.500) x1
Pb (0.500, 0.000, 0.500) x1
Pb (0.500, 0.500, 0.000) x1
S (0.249, 0.500, 0.237) x2
S (0.260, 0.000, 0.769) x2



Below is crystalline MnV4Cr2 at its relaxed geometry, with properties calculated at the PBE-GGA level.

**Formation enthalpy at 0 K**: 0.216 eV/atom
**N(E_F)**: 8.73 states/eV/f.u.
**Spin magnetization**: 0.000 μB per atom
**Density**: 6.6 Mg/m³

Cell: 4.899 5.525 7.402 Å, 90.28 102.22 110.23°
Space group P-1 (No. 2)
Asymmetric unit:
Mn (0.238, 0.429, 0.040) x2
V (0.171, 0.756, 0.237) x2
V (0.309, 0.784, 0.846) x2
V (0.318, 0.320, 0.357) x2
V (0.336, 0.266, 0.757) x2
Cr (0.000, 0.000, 0.000) x1
Cr (0.000, 0.000, 0.500) x1
Cr (0.000, 0.500, 0.500) x1
Cr (0.500, 0.000, 0.500) x1



Below is crystalline Sm2Cu3Au at its relaxed geometry, with properties calculated at the PBE-GGA level.

**Formation enthalpy at 0 K**: -0.389 eV/atom
**N(E_F)**: 3.50 states/eV/f.u.
**Spin magnetization**: 0.000 μB per atom
**Density**: 9.3 Mg/m³

Cell: 7.331 8.782 15.200 Å, 90.00 90.00 90.00°
Space group Fmmm (No. 69)
Asymmetric unit:
Sm (0.248, 0.000, 0.000) x8
Sm (0.250, 0.250, 0.250) x8
Cu (0.000, 0.000, 0.161) x8
Cu (0.000, 0.242, 0.081) x16
Au (0.000, 0.000, 0.333) x8



Question: Which value of spin magnetization does entry 3 give?
Answer: 0.000 μB per atom